(1)
Computed, not measured: a relaxed structure of CaTePt2Br at the PBE-GGA level of DFT.

a = 5.2346 Å, b = 5.1299 Å, c = 5.2346 Å
α = 90.00°, β = 90.00°, γ = 90.00°
Sites, in units of the cell vectors:
1 Br 0.0000 0.5000 0.0000
2 Ca 0.0000 0.0000 0.0000
3 Pt 0.0000 0.0000 0.5000
4 Pt 0.5000 0.0000 0.0000
5 Te 0.5000 0.5000 0.5000

Summary:
DFT total energy (eV/atom): -3.138
Formation energy (no corrections) (meV/atom): 642



(2)
Computed, not measured: a relaxed structure of ZrHg2Rh at the PBE-GGA level of DFT.

a = 4.7610 Å, b = 4.7610 Å, c = 4.7610 Å
α = 60.00°, β = 60.00°, γ = 60.00°
Sites, in units of the cell vectors:
1 Zr 0.0000 0.0000 0.0000
2 Rh 0.5000 0.5000 0.5000
3 Hg 0.2500 0.2500 0.2500
4 Hg 0.7500 0.7500 0.7500

Summary:
DFT formation energy (eV/atom): -0.1340
Polymorph energy (0 for the lowest one) (eV/f.u.): 0.51
DFT total energy (eV/atom): -4.260



Among the records above, which one has the highest DFT total energy?
CaTePt2Br



The lowest DFT total energy belongs to which entry?
ZrHg2Rh



Look up the DFT total energy of the first one.
-3.138 eV/atom